The following is a DFT calculation (GGA-PBE) of In3SbC after structural relaxation.

Computed properties:
**Space group**: Pm-3m, No. 221
**Total moment**: 0.000 μB per atom
**Fermi-level density of states**: 0.77 states/eV/f.u.
**Formation energy without anion corrections**: 0.6303 eV/atom

abc: 4.8320 4.8320 4.8320
angles: 90.00 90.00 90.00
With the nearest neighbours (Å) after each atom.
Element x y z (fractional)
Sb: 0.5000 0.5000 0.5000  12 In 3.42
In: 0.5000 0.0000 0.0000  2 C 2.42
In: 0.0000 0.0000 0.5000  2 C 2.42
In: 0.0000 0.5000 0.0000  2 C 2.42
C: 0.0000 0.0000 0.0000  6 In 2.42


The following is a DFT calculation (GGA-PBE) of LiInIrO4 after structural relaxation.

Computed properties:
**Space group**: Imma, No. 74
**Total moment**: 0.138 μB per atom
**Fermi-level density of states**: 4.26 states/eV/f.u.
**Formation energy without anion corrections**: -1.2537 eV/atom

abc: 6.4215 6.3318 6.3318
angles: 59.46 59.53 59.53
With the nearest neighbours (Å) after each atom.
Element x y z (fractional)
O: 0.2275 0.2594 0.2855  1 Li 2.00, 1 Ir 2.03, 2 In 2.20
O: 0.2275 0.7855 0.7594  1 Li 2.00, 1 Ir 2.03, 2 In 2.20
O: 0.2057 0.7511 0.2511  2 Ir 2.06, 1 In 2.24, 1 Li 2.29
O: 0.7725 0.7406 0.7145  1 Li 2.00, 1 Ir 2.03, 2 In 2.20
O: 0.7725 0.2145 0.2406  1 Li 2.00, 1 Ir 2.03, 2 In 2.20
O: 0.7922 0.7511 0.2511  2 Ir 2.06, 1 In 2.24, 1 Li 2.29
O: 0.2078 0.2489 0.7489  2 Ir 2.06, 1 In 2.24, 1 Li 2.29
O: 0.7943 0.2489 0.7489  2 Ir 2.06, 1 In 2.24, 1 Li 2.29
In: 0.5000 0.0000 0.5000  6 O 2.20-2.24
In: 0.0000 0.0000 0.5000  6 O 2.20-2.24
Ir: 0.0000 0.0000 0.0000  6 O 2.03-2.06
Ir: 0.0000 0.5000 0.5000  6 O 2.03-2.06
Li: 0.6458 0.6042 0.1042  2 O 2.00
Li: 0.3542 0.3958 0.8958  2 O 2.00


The following is a DFT calculation (GGA-PBE) of Sc2Si2Ir after structural relaxation.

Computed properties:
**Space group**: P4/mbm, No. 127
**Total moment**: 0.000 μB per atom
**Fermi-level density of states**: 4.38 states/eV/f.u.
**Formation energy without anion corrections**: -1.0257 eV/atom

abc: 6.3175 6.3175 4.1657
angles: 90.00 90.00 90.00
With the nearest neighbours (Å) after each atom.
Element x y z (fractional)
Si: 0.6345 0.1345 0.0000  1 Si 2.40, 2 Ir 2.46
Si: 0.3655 0.8655 0.0000  1 Si 2.40, 2 Ir 2.46
Si: 0.1345 0.3655 0.0000  1 Si 2.40, 2 Ir 2.46
Si: 0.8655 0.6345 0.0000  1 Si 2.40, 2 Ir 2.46
Sc: 0.3277 0.1723 0.5000  6 Si 2.70-2.86
Sc: 0.1723 0.6723 0.5000  6 Si 2.70-2.86
Sc: 0.8277 0.3277 0.5000  6 Si 2.70-2.86
Sc: 0.6723 0.8277 0.5000  6 Si 2.70-2.86
Ir: 0.5000 0.5000 0.0000  4 Si 2.46
Ir: 0.0000 0.0000 0.0000  4 Si 2.46


The following is a DFT calculation (GGA-PBE) of Pr5IrSe4 after structural relaxation.

Computed properties:
**Space group**: I4/mmm, No. 139
**Total moment**: 0.000 μB per atom
**Fermi-level density of states**: 5.38 states/eV/f.u.
**Formation energy without anion corrections**: -1.5815 eV/atom

abc: 4.2620 4.2620 15.3946
angles: 97.96 97.96 90.00
With the nearest neighbours (Å) after each atom.
Element x y z (fractional)
Pr: 0.7040 0.7040 0.4081  6 Se 3.03-3.06
Pr: 0.0931 0.0931 0.1861  1 Ir 2.81, 5 Se 3.03-3.09
Pr: 0.5000 0.5000 0.0000  4 Ir 3.01, 2 Se 3.10
Pr: 0.9069 0.9069 0.8139  1 Ir 2.81, 5 Se 3.03-3.09
Pr: 0.2960 0.2960 0.5919  6 Se 3.03-3.06
Se: 0.1953 0.1953 0.3905  6 Pr 3.03-3.09
Se: 0.3974 0.3974 0.7947  6 Pr 3.03-3.10
Se: 0.6026 0.6026 0.2053  6 Pr 3.03-3.10
Se: 0.8047 0.8047 0.6095  6 Pr 3.03-3.09
Ir: 0.0000 0.0000 0.0000  6 Pr 2.81-3.01


The following is a DFT calculation (GGA-PBE) of AcLa2Th3As6 after structural relaxation.

Computed properties:
**Space group**: C2/m, No. 12
**Total moment**: 0.000 μB per atom
**Energy of formation**: -1.482 eV per atom
**Fermi-level density of states**: 5.52 states/eV/f.u.

abc: 7.4978 7.4978 7.5338
angles: 99.56 99.56 119.93
With the nearest neighbours (Å) after each atom.
Element x y z (fractional)
As: 0.4259 0.0876 0.2628  3 Th 2.99-3.03, 2 La 3.10-3.11, 1 Ac 3.15
As: 0.7487 0.7487 0.2615  3 Th 2.99-3.03, 2 La 3.10, 1 Ac 3.15
As: 0.9124 0.5741 0.7372  3 Th 2.99-3.03, 2 La 3.10-3.11, 1 Ac 3.15
As: 0.5741 0.9124 0.7372  3 Th 2.99-3.03, 2 La 3.10-3.11, 1 Ac 3.15
As: 0.0876 0.4259 0.2628  3 Th 2.99-3.03, 2 La 3.10-3.11, 1 Ac 3.15
As: 0.2513 0.2513 0.7385  3 Th 2.99-3.03, 2 La 3.10, 1 Ac 3.15
Th: 0.1656 0.8344 0.5000  6 As 2.99-3.03
Th: 0.8344 0.1656 0.5000  6 As 2.99-3.03
Th: 0.5000 0.5000 0.5000  6 As 2.99-3.03
La: 0.6669 0.3331 0.0000  6 As 3.10-3.11
La: 0.3331 0.6669 0.0000  6 As 3.10-3.11
Ac: 0.0000 0.0000 0.0000  6 As 3.15


The following is a DFT calculation (GGA-PBE) of CdRh2Cl after structural relaxation.

Computed properties:
**Space group**: F-43m, No. 216
**Total moment**: 0.563 μB per atom
**Fermi-level density of states**: 3.32 states/eV/f.u.
**Formation energy without anion corrections**: 0.4757 eV/atom

abc: 4.6133 4.6133 4.6133
angles: 60.00 60.00 60.00
With the nearest neighbours (Å) after each atom.
Element x y z (fractional)
Cl: 0.7500 0.7500 0.7500  4 Cd 2.83, 4 Rh 2.83
Cd: 0.5000 0.5000 0.5000  4 Cl 2.83, 4 Rh 2.83
Rh: 0.0000 0.0000 0.0000  4 Cl 2.83, 4 Rh 2.83
Rh: 0.2500 0.2500 0.2500  4 Cd 2.83, 4 Rh 2.83


The following is a DFT calculation (GGA-PBE) of Ti3CoP after structural relaxation.

Computed properties:
**Space group**: Pm-3m, No. 221
**Total moment**: 0.283 μB per atom
**Energy of formation**: 0.091 eV per atom
**Fermi-level density of states**: 4.38 states/eV/f.u.

abc: 4.4822 4.4822 4.4822
angles: 90.00 90.00 90.00
With the nearest neighbours (Å) after each atom.
Element x y z (fractional)
Ti: 0.0000 0.0000 0.5000  2 P 2.24
Ti: 0.0000 0.5000 0.0000  2 P 2.24
Ti: 0.5000 0.0000 0.0000  2 P 2.24
Co: 0.5000 0.5000 0.5000  12 Ti 3.17
P: 0.0000 0.0000 0.0000  6 Ti 2.24


The following is a DFT calculation (GGA-PBE) of ThSN after structural relaxation.

Computed properties:
**Space group**: F-43m, No. 216
**Total moment**: 0.337 μB per atom
**Fermi-level density of states**: 2.50 states/eV/f.u.
**Formation energy without anion corrections**: -0.8950 eV/atom

abc: 4.4211 4.4211 4.4211
angles: 60.00 60.00 60.00
With the nearest neighbours (Å) after each atom.
Element x y z (fractional)
S: 0.0000 0.0000 0.0000  4 Th 2.71
N: 0.5000 0.5000 0.5000  4 Th 2.71
Th: 0.2500 0.2500 0.2500  4 S 2.71, 4 N 2.71


The following is a DFT calculation (GGA-PBE) of TaInBiO6 after structural relaxation.

Computed properties:
**Space group**: P4_2nm, No. 102
**Total moment**: 0.000 μB per atom
**Fermi-level density of states**: 2.33 states/eV/f.u.
**Formation energy without anion corrections**: -1.8448 eV/atom

abc: 4.9539 4.9539 10.0796
angles: 90.00 90.00 90.00
With the nearest neighbours (Å) after each atom.
Element x y z (fractional)
O: 0.6917 0.6917 0.6860  1 Ta 1.96, 1 In 2.17
O: 0.7111 0.7111 0.3293  1 Ta 2.02, 1 In 2.20, 1 Bi 2.23
O: 0.7889 0.2111 0.8293  1 Ta 2.02, 1 In 2.20, 1 Bi 2.23
O: 0.1917 0.8083 0.1860  1 Ta 1.96, 1 In 2.17
O: 0.2111 0.7889 0.8293  1 Ta 2.02, 1 In 2.20, 1 Bi 2.23
O: 0.1800 0.8200 0.4896  1 Ta 2.06, 1 In 2.19, 1 Bi 2.24
O: 0.8200 0.1800 0.4896  1 Ta 2.06, 1 In 2.19, 1 Bi 2.24
O: 0.3083 0.3083 0.6860  1 Ta 1.96, 1 In 2.17
O: 0.8083 0.1917 0.1860  1 Ta 1.96, 1 In 2.17
O: 0.2889 0.2889 0.3293  1 Ta 2.02, 1 In 2.20, 1 Bi 2.23
O: 0.3200 0.3200 0.9896  1 Ta 2.06, 1 In 2.19, 1 Bi 2.24
O: 0.6800 0.6800 0.9896  1 Ta 2.06, 1 In 2.19, 1 Bi 2.24
Ta: 0.5000 0.5000 0.8277  6 O 1.96-2.06
Ta: 0.0000 0.0000 0.3277  6 O 1.96-2.06
In: 0.0000 0.0000 0.6675  6 O 2.17-2.20
In: 0.5000 0.5000 0.1675  6 O 2.17-2.20
Bi: 0.0000 0.0000 0.9949  6 O 2.23-2.35
Bi: 0.5000 0.5000 0.4949  6 O 2.23-2.35


The following is a DFT calculation (GGA-PBE) of CaTl2Os3O12 after structural relaxation.

Computed properties:
**Space group**: R-3m, No. 166
**Total moment**: 0.058 μB per atom
**Fermi-level density of states**: 8.83 states/eV/f.u.
**Formation energy without anion corrections**: -1.1510 eV/atom

abc: 7.4290 7.4290 7.4290
angles: 59.49 59.49 59.49
With the nearest neighbours (Å) after each atom.
Element x y z (fractional)
Os: 0.0000 0.0000 0.5000  6 O 1.85-1.92
Os: 0.5000 0.0000 0.0000  6 O 1.85-1.92
Os: 0.0000 0.5000 0.0000  6 O 1.85-1.92
O: 0.7037 0.7037 0.0799  2 Os 1.92
O: 0.2963 0.2963 0.9201  2 Os 1.92
O: 0.0799 0.7037 0.7037  2 Os 1.92
O: 0.9201 0.2963 0.2963  2 Os 1.92
O: 0.9071 0.3830 0.9071  1 Os 1.85
O: 0.6170 0.0929 0.0929  1 Os 1.85
O: 0.9071 0.9071 0.3830  1 Os 1.85
O: 0.0929 0.0929 0.6170  1 Os 1.85
O: 0.2963 0.9201 0.2963  2 Os 1.92
O: 0.7037 0.0799 0.7037  2 Os 1.92
O: 0.0929 0.6170 0.0929  1 Os 1.85
O: 0.3830 0.9071 0.9071  1 Os 1.85
Tl: 0.3583 0.3583 0.3583  3 O 2.78
Tl: 0.6417 0.6417 0.6417  3 O 2.78
Ca: 0.0000 0.0000 0.0000  6 O 2.35


The following is a DFT calculation (GGA-PBE) of Ga2H6S after structural relaxation.

Computed properties:
**Space group**: Fm-3m, No. 225
**Total moment**: 0.000 μB per atom
**Fermi-level density of states**: 3.37 states/eV/f.u.
**Calculated total energy**: -2.74 eV per atom

abc: 5.1871 5.1871 5.1871
angles: 60.00 60.00 60.00
With the nearest neighbours (Å) after each atom.
Element x y z (fractional)
H: 0.2076 0.2076 0.7924  1 S 1.52
H: 0.2076 0.7924 0.7924  1 S 1.52
H: 0.7924 0.2076 0.7924  1 S 1.52
H: 0.7924 0.7924 0.2076  1 S 1.52
H: 0.7924 0.2076 0.2076  1 S 1.52
H: 0.2076 0.7924 0.2076  1 S 1.52
Ga: 0.7500 0.7500 0.7500  12 H 2.61
Ga: 0.2500 0.2500 0.2500  12 H 2.61
S: 0.0000 0.0000 0.0000  6 H 1.52


The following is a DFT calculation (GGA-PBE) of TiBe6Ni2 after structural relaxation.

Computed properties:
**Space group**: Immm, No. 71
**Total moment**: 0.000 μB per atom
**Energy of formation**: -0.123 eV per atom
**Fermi-level density of states**: 4.98 states/eV/f.u.

abc: 2.6356 6.4288 6.4288
angles: 56.75 78.17 78.17
With the nearest neighbours (Å) after each atom.
Element x y z (fractional)
Be: 0.5000 0.3349 0.6651  3 Be 2.02-2.15
Be: 0.3233 0.9913 0.3621  4 Be 2.15-2.27, 3 Ni 2.30-2.36
Be: 0.6767 0.6379 0.0087  4 Be 2.15-2.27, 3 Ni 2.30-2.36
Be: 0.6767 0.0087 0.6379  4 Be 2.15-2.27, 3 Ni 2.30-2.36
Be: 0.3233 0.3621 0.9913  4 Be 2.15-2.27, 3 Ni 2.30-2.36
Be: 0.5000 0.6651 0.3349  3 Be 2.02-2.15
Ti: 0.0000 0.0000 0.0000  12 Be 2.43-2.61, 2 Ti 2.64
Ni: 0.1412 0.3588 0.3588  10 Be 2.27-2.36
Ni: 0.8588 0.6412 0.6412  10 Be 2.27-2.36